Entry 1:
Entry from OQMD via LeMat-Bulk: a relaxed Ta2AsO4 crystal (PBE).

a = 6.482 Å, b = 6.482 Å, c = 9.157 Å
α = 90.00°, β = 90.00°, γ = 90.00°
Space group I4_1/amd (No. 141, origin choice 2)
Unique sites:
Ta: 0.000 0.000 0.000 (multiplicity 8)
As: 0.000 0.250 0.375 (multiplicity 4)
O: 0.000 0.049 0.774 (multiplicity 16)



Entry 2:
Entry from OQMD via LeMat-Bulk: a relaxed Ta2As2O5 crystal (PBE).

E above lowest polymorph, eV per formula unit: 0.00

a = 3.592 Å, b = 3.592 Å, c = 8.439 Å
α = 90.00°, β = 90.00°, γ = 90.00°
Space group P4/mmm (No. 123)
Unique sites:
Ta: 0.000 0.000 0.210 (multiplicity 2)
As: 0.500 0.500 0.000 (multiplicity 1)
As: 0.500 0.500 0.500 (multiplicity 1)
O: 0.000 0.000 0.500 (multiplicity 1)
O: 0.000 0.500 0.300 (multiplicity 4)



Entry 3:
Entry from OQMD via LeMat-Bulk: a relaxed TaTcAsO crystal (PBE).

E above lowest polymorph, eV per formula unit: 1.04

a = 4.017 Å, b = 4.797 Å, c = 6.822 Å
α = 90.00°, β = 90.00°, γ = 90.00°
Space group Pmc2_1 (No. 26)
Unique sites:
Ta: 0.000 0.131 0.000 (multiplicity 2)
Tc: 0.500 0.202 0.416 (multiplicity 2)
As: 0.500 0.310 0.769 (multiplicity 2)
O: 0.000 0.168 0.283 (multiplicity 2)



Entry 4:
Entry from OQMD via LeMat-Bulk: a relaxed TaTcAsO crystal (PBE).

E above lowest polymorph, eV per formula unit: 2.69

a = 3.873 Å, b = 3.873 Å, c = 7.310 Å
α = 90.00°, β = 90.00°, γ = 90.00°
Space group P4/nmm (No. 129, origin choice 2)
Unique sites:
Ta: 0.250 0.750 0.000 (multiplicity 2)
Tc: 0.250 0.250 0.336 (multiplicity 2)
As: 0.250 0.250 0.739 (multiplicity 2)
O: 0.250 0.750 0.500 (multiplicity 2)



Entry 5:
Entry from OQMD via LeMat-Bulk: a relaxed TaTcAsO crystal (PBE).

E above lowest polymorph, eV per formula unit: 0.00

a = 4.176 Å, b = 5.658 Å, c = 5.241 Å
α = 90.00°, β = 90.00°, γ = 90.00°
Space group Pmc2_1 (No. 26)
Unique sites:
Ta: 0.000 0.183 0.000 (multiplicity 2)
Tc: 0.500 0.101 0.657 (multiplicity 2)
As: 0.000 0.324 0.504 (multiplicity 2)
O: 0.500 0.237 0.024 (multiplicity 2)



Entry 6:
Entry from OQMD via LeMat-Bulk: a relaxed TaTcAsO crystal (PBE).

E above lowest polymorph, eV per formula unit: 0.51

a = 3.710 Å, b = 3.710 Å, c = 7.958 Å
α = 90.00°, β = 90.00°, γ = 90.00°
Space group P4/nmm (No. 129, origin choice 2)
Unique sites:
Ta: 0.250 0.250 0.163 (multiplicity 2)
Tc: 0.250 0.750 0.500 (multiplicity 2)
As: 0.250 0.250 0.717 (multiplicity 2)
O: 0.250 0.750 0.000 (multiplicity 2)



Entry 7:
Entry from OQMD via LeMat-Bulk: a relaxed TaTeAsO crystal (PBE).

E above lowest polymorph, eV per formula unit: 0.75

a = 3.744 Å, b = 8.802 Å, c = 5.139 Å
α = 90.00°, β = 90.00°, γ = 90.00°
Space group Pmc2_1 (No. 26)
Unique sites:
Ta: 0.000 0.127 0.000 (multiplicity 2)
Te: 0.500 0.376 0.789 (multiplicity 2)
As: 0.000 0.185 0.497 (multiplicity 2)
O: 0.500 0.074 0.040 (multiplicity 2)



Entry 8:
Entry from OQMD via LeMat-Bulk: a relaxed TaTeAsO crystal (PBE).

E above lowest polymorph, eV per formula unit: 3.05

a = 5.789 Å, b = 5.802 Å, c = 9.585 Å
α = 90.00°, β = 95.01°, γ = 90.00°
Space group Cm (No. 8)
Unique sites:
Ta: 0.000 0.247 0.000 (multiplicity 4)
Te: 0.124 0.000 0.439 (multiplicity 2)
Te: 0.258 0.500 0.761 (multiplicity 2)
As: 0.261 0.000 0.798 (multiplicity 2)
As: 0.276 0.500 0.182 (multiplicity 2)
O: 0.470 0.256 0.521 (multiplicity 4)



One value per record, in order, for calculated total energy: -0.6064, -0.5659, -0.6223, -0.5920, -0.6413, -0.6320, -0.5072, -0.4649 Ry/atom.